Record 1
DFT (PBE) results for an optimized crystal structure of Ac4SmSe7.

Output
Symmetry = Cm
Formation energy (no corrections) = -1.973 eV per atom

Geometry as POSCAR:
```
Ac4SmSe7
1.0
7.261 -2.154 0.000
7.261 2.154 0.000
-3.388 0.000 12.365
Ac Sm Se
4 1 7
direct
0.000 0.000 0.000
0.194 0.194 0.767
0.590 0.590 0.376
0.891 0.891 0.566
0.776 0.776 0.146
0.161 0.161 0.219
0.230 0.230 0.521
0.376 0.376 0.067
0.552 0.552 0.621
0.631 0.631 0.929
0.850 0.850 0.786
0.930 0.930 0.343
```


Record 2
DFT (PBE) results for an optimized crystal structure of Ta3MoP.

Output
Symmetry = Pm-3m
ΔH_f (0 K) = 503.7 meV/atom
Relative energy among the computed polymorphs = 863 meV per atom

Geometry as POSCAR:
```
Ta3MoP
1.0
4.554 0.000 0.000
0.000 4.554 0.000
0.000 0.000 4.554
Ta Mo P
3 1 1
direct
0.000 0.000 0.500
0.000 0.500 0.000
0.500 0.000 0.000
0.500 0.500 0.500
0.000 0.000 0.000
```


Record 3
DFT (PBE) results for an optimized crystal structure of YAlTe2Br.

Output
Symmetry = P4/mmm
Formation energy (no corrections) = -0.477 eV per atom

Geometry as POSCAR:
```
YAlTe2Br
1.0
5.914 0.000 0.000
0.000 5.914 0.000
0.000 0.000 5.543
Y Al Te Br
1 1 2 1
direct
0.000 0.000 0.000
0.500 0.500 0.500
0.000 0.500 0.000
0.500 0.000 0.000
0.000 0.000 0.500
```


Record 4
DFT (PBE) results for an optimized crystal structure of RbBaOsO6.

Output
Symmetry = P1
Formation energy (no corrections) = -1.375 eV per atom

Geometry as POSCAR:
```
RbBaOsO6
1.0
5.166 0.000 0.000
0.106 6.228 0.000
0.052 3.111 5.446
Rb Ba Os O
1 1 1 6
direct
0.000 0.000 0.000
0.499 0.671 0.659
0.999 0.323 0.354
0.184 0.556 0.057
0.197 0.068 0.364
0.229 0.356 0.552
0.768 0.093 0.552
0.801 0.569 0.363
0.816 0.387 0.056
```


Record 5
DFT (PBE) results for an optimized crystal structure of PrY2Pa.

Output
Symmetry = R-3m
ΔH_f (0 K) = 213.8 meV/atom

Geometry as POSCAR:
```
PrY2Pa
1.0
1.717 0.991 12.264
-1.717 0.991 12.264
0.000 -1.983 12.264
Pr Y Pa
1 2 1
direct
0.000 0.000 0.000
0.093 0.093 0.093
0.907 0.907 0.907
0.500 0.500 0.500
```


Record 6
DFT (PBE) results for an optimized crystal structure of BaLa2Se.

Output
Symmetry = P4/mmm
Formation energy (no corrections) = -0.401 eV per atom

Geometry as POSCAR:
```
BaLa2Se
1.0
5.635 0.000 0.000
0.000 5.635 0.000
0.000 0.000 4.004
Ba La Se
1 2 1
direct
0.000 0.000 0.000
0.000 0.500 0.500
0.500 0.000 0.500
0.500 0.500 0.000
```


Record 7
DFT (PBE) results for an optimized crystal structure of MnOsAu2.

Output
Symmetry = P4/mmm
ΔH_f (0 K) = 468.8 meV/atom
Relative energy among the computed polymorphs = 246 meV per atom

Geometry as POSCAR:
```
MnOsAu2
1.0
2.864 0.000 0.000
0.000 2.864 0.000
0.000 0.000 7.905
Mn Os Au
1 1 2
direct
0.000 0.000 0.000
0.000 0.000 0.500
0.500 0.500 0.243
0.500 0.500 0.757
```


Record 8
DFT (PBE) results for an optimized crystal structure of LiCdGa.

Output
Symmetry = Cm
ΔH_f (0 K) = -138.2 meV/atom
Relative energy among the computed polymorphs = 89 meV per atom

Geometry as POSCAR:
```
LiCdGa
1.0
2.708 -1.498 0.000
2.708 1.498 0.000
-1.829 0.000 6.953
Li Cd Ga
1 1 1
direct
0.000 0.000 0.000
0.794 0.794 0.339
0.573 0.573 0.695
```


Let's list electronic total energy in order: -5.77, -9.86, -4.11, -6.25, -6.59, -4.22, -6.27, -2.09 eV/atom.
Let's list density in order: 6.9, 11.8, 3.9, 4.8, 7.3, 6.5, 16.4, 5.6 g/cm³.